## YRu2W (PBE)

Data for crystalline YRu2W at its relaxed geometry.

Cell: 5.5682 5.5682 5.5682 Å, 146.73 132.00 59.65°
Fractional positions:
Y 0.0000 0.0000 0.0000
Ru 0.2552 0.7552 0.5000
Ru 0.5222 0.5222 0.0000
W 0.7369 0.2369 0.5000

## Properties
Space-group type ... Imm2
ΔE_f ... 0.20 eV/atom

## TaFe2As (PBE)

Data for crystalline TaFe2As at its relaxed geometry.

Cell: 4.2941 4.2941 4.2941 Å, 60.00 60.00 60.00°
Fractional positions:
Ta 0.0000 0.0000 0.0000
Fe 0.5000 0.5000 0.5000
Fe 0.7500 0.7500 0.7500
As 0.2500 0.2500 0.2500

## Properties
Space-group type ... F-43m
ΔE_f ... 0.07 eV/atom

## Tb4ScTl2 (PBE)

Data for crystalline Tb4ScTl2 at its relaxed geometry.

Cell: 9.2308 9.2308 9.2308 Å, 34.23 34.23 34.23°
Fractional positions:
Tb 0.1310 0.1310 0.1310
Tb 0.2687 0.2687 0.2687
Tb 0.7313 0.7313 0.7313
Tb 0.8690 0.8690 0.8690
Sc 0.5000 0.5000 0.5000
Tl 0.3884 0.3884 0.3884
Tl 0.6116 0.6116 0.6116

## Properties
Space-group type ... R-3m
ΔE_f ... 0.03 eV/atom

## SrTlCuAgRh (PBE)

Data for crystalline SrTlCuAgRh at its relaxed geometry.

Cell: 4.6848 4.6848 6.0568 Å, 90.00 90.00 120.00°
Fractional positions:
Sr 0.0000 0.0000 0.0000
Tl 0.6667 0.3333 0.4315
Cu 0.3333 0.6667 0.2937
Ag 0.3333 0.6667 0.7223
Rh 0.0000 0.0000 0.4935

## Properties
Space-group type ... P3m1
ΔE_f ... -0.02 eV/atom

## Al2PbBr (PBE)

Data for crystalline Al2PbBr at its relaxed geometry.

Cell: 6.2778 6.2778 6.2778 Å, 139.06 139.06 59.29°
Fractional positions:
Al 0.2500 0.7500 0.5000
Al 0.7500 0.2500 0.5000
Pb 0.0000 0.0000 0.0000
Br 0.5000 0.5000 0.0000

## Properties
Space-group type ... I4/mmm

## Hg6Pb7 (PBE)

Data for crystalline Hg6Pb7 at its relaxed geometry.

Cell: 11.0397 11.0397 11.0397 Å, 35.39 35.39 35.39°
Fractional positions:
Hg 0.0488 0.0488 0.0488
Hg 0.1524 0.1524 0.1524
Hg 0.3352 0.3352 0.3352
Hg 0.6648 0.6648 0.6648
Hg 0.8476 0.8476 0.8476
Hg 0.9512 0.9512 0.9512
Pb 0.0767 0.5873 0.5873
Pb 0.4127 0.4127 0.9233
Pb 0.4127 0.9233 0.4127
Pb 0.5000 0.5000 0.5000
Pb 0.5873 0.0767 0.5873
Pb 0.5873 0.5873 0.0767
Pb 0.9233 0.4127 0.4127

## Properties
Space-group type ... R-3m
ΔE_f ... 0.11 eV/atom

## SmTm4Pb2 (PBE)

Data for crystalline SmTm4Pb2 at its relaxed geometry.

Cell: 9.7851 9.7851 4.5186 Å, 90.00 90.00 90.00°
Fractional positions:
Sm 0.0000 0.0000 0.0000
Sm 0.5000 0.5000 0.5000
Tm 0.0973 0.3463 0.5000
Tm 0.1537 0.5973 0.0000
Tm 0.3463 0.0973 0.5000
Tm 0.4027 0.8463 0.0000
Tm 0.5973 0.1537 0.0000
Tm 0.6537 0.9027 0.5000
Tm 0.8463 0.4027 0.0000
Tm 0.9027 0.6537 0.5000
Pb 0.1757 0.8243 0.5000
Pb 0.3243 0.3243 0.0000
Pb 0.6757 0.6757 0.0000
Pb 0.8243 0.1757 0.5000

## Properties
Space-group type ... P4_2/mnm
ΔE_f ... -0.21 eV/atom

## Rb5Cd2Hg2 (PBE)

Data for crystalline Rb5Cd2Hg2 at its relaxed geometry.

Cell: 12.5291 12.5291 12.5291 Å, 65.11 134.00 136.57°
Fractional positions:
Rb 0.1395 0.4738 0.9682
Rb 0.1395 0.6713 0.1657
Rb 0.1679 0.0658 0.2337
Rb 0.1679 0.4342 0.6021
Rb 0.5056 0.1713 0.0318
Rb 0.5056 0.9738 0.8343
Rb 0.5255 0.4043 0.6212
Rb 0.7831 0.9043 0.3788
Rb 0.8321 0.5658 0.3979
Rb 0.8321 0.9342 0.7663
Cd 0.6078 0.0765 0.3949
Cd 0.6078 0.7129 0.0313
Cd 0.6816 0.2129 0.6051
Cd 0.6816 0.5765 0.9687
Hg 0.0056 0.2711 0.2344
Hg 0.0367 0.7711 0.7656
Hg 0.3497 0.3497 0.0000
Hg 0.3497 0.8497 0.5000

## Properties
Space-group type ... Ima2
ΔE_f ... -0.08 eV/atom

## Pr8GeSe6 (PBE)

Data for crystalline Pr8GeSe6 at its relaxed geometry.

Cell: 10.8261 10.8261 4.2981 Å, 90.00 90.00 120.00°
Fractional positions:
Pr 0.0328 0.3146 0.2558
Pr 0.2818 0.9672 0.2558
Pr 0.3146 0.2818 0.7442
Pr 0.3333 0.6667 0.7484
Pr 0.6667 0.3333 0.2516
Pr 0.6854 0.7182 0.2558
Pr 0.7182 0.0328 0.7442
Pr 0.9672 0.6854 0.7442
Ge 0.0000 0.0000 0.5000
Se 0.1293 0.6475 0.2494
Se 0.3525 0.4817 0.2494
Se 0.4817 0.1293 0.7506
Se 0.5183 0.8707 0.2494
Se 0.6475 0.5183 0.7506
Se 0.8707 0.3525 0.7506

## Properties
Space-group type ... P-3

## HoEr2Tl2Hg2 (PBE)

Data for crystalline HoEr2Tl2Hg2 at its relaxed geometry.

Cell: 9.2302 9.2302 9.2302 Å, 31.28 31.28 31.28°
Fractional positions:
Ho 0.0000 0.0000 0.0000
Er 0.1324 0.1324 0.1324
Er 0.8676 0.8676 0.8676
Tl 0.2736 0.2736 0.2736
Tl 0.7264 0.7264 0.7264
Hg 0.4360 0.4360 0.4360
Hg 0.5640 0.5640 0.5640

## Properties
Space-group type ... R-3m
ΔE_f ... -0.16 eV/atom

## KTc2Hg (PBE)

Data for crystalline KTc2Hg at its relaxed geometry.

Cell: 5.9128 5.9128 5.9128 Å, 145.78 124.24 67.07°
Fractional positions:
K 0.0000 0.0000 0.0000
Tc 0.2923 0.7923 0.5000
Tc 0.4424 0.4424 0.0000
Hg 0.7043 0.2043 0.5000

## Properties
Space-group type ... Imm2
ΔE_f ... 0.96 eV/atom

## ZrIrCl (PBE)

Data for crystalline ZrIrCl at its relaxed geometry.

Cell: 6.2393 6.3363 6.3363 Å, 31.41 90.00 90.00°
Fractional positions:
Zr 0.0000 0.0000 0.0000
Zr 0.5000 0.0000 0.0000
Ir 0.2500 0.6222 0.6037
Ir 0.7500 0.6037 0.6222
Cl 0.2500 0.9606 0.6984
Cl 0.7500 0.6984 0.9606

## Properties
Space-group type ... Ama2

The records above give, respectively, M_tot values of 0.000, 3.624, 1.196, 0.000, 0.000, 0.000, 0.000, 0.000, 0.000, 0.000, 0.003, 0.000 μB/f.u..
The records above give, respectively, total energy values of -0.3415, -0.3044, -0.1542, -0.1354, -0.1088, -0.0746, -0.1653, -0.0326, -0.2062, -0.1058, -0.1680, -0.2645 Ha/atom.
The records above give, respectively, D(E_F) values of 4.2, 2.1, 11.8, 3.0, 2.3, 8.7, 14.1, 13.7, 12.4, 3.9, 3.7, 1.3 states/eV/cell.